# 1
# DyScSb

An optimized crystal structure of DyScSb (PBE, Alexandria).

## Properties
- raw formation energy (eV per atom) = -0.86

```
DyScSb
1.0
4.3423 0.0000 0.0000
0.0000 4.3423 0.0000
0.0000 0.0000 8.1850
Dy Sc Sb
2 2 2
Cartesian
0.0000 2.1711 5.3334
2.1711 0.0000 2.8515
0.0000 0.0000 0.0000
2.1711 2.1711 0.0000
0.0000 2.1711 2.1753
2.1711 0.0000 6.0097
```

# 2
# DySc3Sb

An optimized crystal structure of DySc3Sb (PBE, Alexandria).

## Properties
- raw formation energy (eV per atom) = -0.40

```
DySc3Sb
1.0
3.8222 0.0000 0.0000
0.0000 9.9722 0.0000
0.0000 0.0000 13.5865
Dy Sc Sb
4 12 4
Cartesian
2.8666 8.3984 13.2486
0.9555 6.5599 6.4553
2.8666 3.4123 7.1312
0.9555 1.5738 0.3379
0.9555 5.8475 1.0688
2.8666 4.1247 12.5177
0.9555 0.8614 5.7245
2.8666 9.1108 7.8620
0.9555 3.8456 9.9994
2.8666 1.1405 3.2061
0.9555 8.8317 10.3804
2.8666 6.3147 9.3510
0.9555 3.6575 4.2355
2.8666 1.3286 11.0288
2.8666 6.1266 3.5871
0.9555 8.6436 2.5577
0.9555 1.2726 8.6467
0.9555 6.2587 11.7330
2.8666 3.7135 1.8535
2.8666 8.6996 4.9398
```

# 3
# DyScSb2

An optimized crystal structure of DyScSb2 (PBE, Alexandria).

## Properties
- raw formation energy (eV per atom) = -0.92
- energy above the lowest structure with this stoichiometry (eV/atom) = 0.109

```
DyScSb2
1.0
-2.2612 2.3761 2.7118
-4.2205 0.3098 -0.4511
-3.0419 -4.8503 5.0531
Dy Sc Sb
1 1 2
Cartesian
-7.3580 -3.0266 6.5354
-4.7667 -1.1138 3.6805
-2.8142 -3.3658 3.9422
-2.3885 -0.5907 1.8655
```

# 4
# DySc2Sb

An optimized crystal structure of DySc2Sb (PBE, Alexandria).

## Properties
- raw formation energy (eV per atom) = -0.27
- energy above the lowest structure with this stoichiometry (eV/atom) = 0.292

```
DySc2Sb
1.0
5.1026 0.0000 0.0000
2.5513 4.4190 0.0000
2.5513 1.4730 4.1659
Sc Sb Dy
2 1 1
Cartesian
7.6539 4.4190 3.1242
2.5513 1.4730 1.0418
0.0000 0.0000 0.0000
5.1026 2.9460 2.0830
```

# 5
# Dy5ScSb6

An optimized crystal structure of Dy5ScSb6 (PBE, Alexandria).

## Properties
- raw formation energy (eV per atom) = -1.09

```
Dy5ScSb6
1.0
7.5351 0.2082 0.0000
2.3208 7.1700 0.0000
1.1604 3.5850 6.5286
Dy Sc Sb
5 1 6
Cartesian
4.9280 3.6891 4.3095
1.1604 3.5850 2.1613
4.9280 3.6891 0.0000
2.3208 7.1700 4.3674
6.0884 7.2741 2.2191
0.0000 0.0000 0.0000
6.2619 1.9052 2.1264
3.5941 5.4729 2.1264
2.4277 1.7898 0.0000
7.4283 5.5883 0.0000
7.4223 5.4903 4.4023
4.7545 9.0579 4.4023
```

# 6
# Dy5ScSb4

An optimized crystal structure of Dy5ScSb4 (PBE, Alexandria).

## Properties
- raw formation energy (eV per atom) = -0.70

```
Dy5ScSb4
1.0
-3.0944 -2.4320 1.5900
1.3840 -5.6310 -5.9194
7.0392 -1.2011 6.1965
Dy Sc Sb
5 1 4
Cartesian
2.9003 -6.4282 1.4784
2.3723 -3.8517 4.3916
2.9566 -5.4124 -2.5245
-0.8552 -4.0315 -2.1647
2.4285 -2.8359 0.3887
-1.5472 -1.2160 0.7950
4.9535 -6.7891 -0.7439
4.9264 -7.8511 3.2450
0.3754 -2.4749 2.6110
0.4025 -1.4130 -1.3779
```

# 7
# DyScSb2

An optimized crystal structure of DyScSb2 (PBE, Alexandria).

## Properties
- raw formation energy (eV per atom) = -1.03
- energy above the lowest structure with this stoichiometry (eV/atom) = 0.000

```
DyScSb2
1.0
-0.2417 4.0872 1.2390
-3.2678 2.4378 -1.2949
-4.8289 0.2551 5.6008
Sc Sb Dy
1 2 1
Cartesian
0.0000 0.0000 0.0000
-2.0300 1.7237 1.3023
-6.3085 5.0564 4.2426
-4.1692 3.3901 2.7724
```

# 8
# Dy5Sc2Sb4

An optimized crystal structure of Dy5Sc2Sb4 (PBE, Alexandria).

## Properties
- raw formation energy (eV per atom) = -0.65

```
Dy5Sc2Sb4
1.0
4.1737 0.0000 0.0000
0.0000 7.5600 -0.8105
-2.0868 -3.2852 10.4906
Dy Sc Sb
5 2 4
Cartesian
0.0000 5.7573 2.8428
2.0868 -1.4825 6.8374
0.0000 1.6761 2.8110
2.0868 0.0000 0.0000
2.0868 2.5987 6.8692
2.0868 3.6560 1.0862
0.0000 0.6188 8.5939
2.0868 3.7739 3.9850
0.0000 5.4321 -0.2246
0.0000 0.5009 5.6952
2.0868 -1.1573 9.9048
```

# 9
# Dy2ScSb3

An optimized crystal structure of Dy2ScSb3 (PBE, Alexandria).

## Properties
- raw formation energy (eV per atom) = -1.05
- energy above the lowest structure with this stoichiometry (eV/atom) = 0.004

```
Dy2ScSb3
1.0
-3.8062 1.3639 -1.4996
1.2535 -2.4912 -5.4473
-1.4582 -4.9747 5.3770
Dy Sc Sb
2 1 3
Cartesian
-2.8279 -1.1911 -0.1060
-1.1830 -4.9109 -1.4638
0.6267 -1.2456 -2.7236
-1.8672 -3.7818 1.2998
0.0000 0.0000 0.0000
-2.1437 -2.3202 -2.8697
```

# 10
# Dy3Sc5Sb2

An optimized crystal structure of Dy3Sc5Sb2 (PBE, Alexandria).

## Properties
- raw formation energy (eV per atom) = -0.21

```
Dy3Sc5Sb2
1.0
-1.0504 0.7632 -5.9812
-9.8073 -0.8878 -1.5225
0.0112 9.7844 -1.8851
Dy Sc Sb
6 10 4
Cartesian
-0.2626 0.1908 -1.4953
-0.7878 0.5724 -4.4859
-3.7981 8.9644 -4.4522
-7.0484 0.6954 -4.9365
-9.9217 3.2608 -7.2361
-0.9247 6.3990 -2.1526
-5.1606 4.6391 -3.1991
-5.6858 5.0207 -6.1896
-7.7565 6.9464 -5.5803
-3.6152 3.0950 -6.7990
-3.0900 2.7134 -3.8084
-7.2313 6.5649 -2.5897
-5.7329 2.0053 -1.8689
-5.1135 7.6545 -7.5198
-3.0657 5.8569 -4.9773
-7.7807 3.8030 -4.4114
-7.0276 9.2648 -3.8467
-3.8188 0.3950 -5.5420
-10.4709 6.4746 -6.7295
-0.3755 3.1852 -2.6591
```

# 11
# DySc3Sb3

An optimized crystal structure of DySc3Sb3 (PBE, Alexandria).

## Properties
- raw formation energy (eV per atom) = -0.79

```
DySc3Sb3
1.0
-4.8345 -7.1282 -0.5823
-1.9388 -4.4933 7.1116
-7.1254 -0.6314 2.8980
Dy Sc Sb
2 6 6
Cartesian
-9.3613 -4.5199 5.0712
-4.5375 -7.7331 4.3561
-8.6552 -6.6023 7.7979
-9.5058 -6.6555 2.2985
-6.4657 -2.6048 4.6048
-7.4331 -9.6482 4.8225
-4.3930 -5.5975 7.1289
-5.2437 -5.6506 1.6295
-4.2881 -4.6373 4.3645
-6.8429 -8.0120 2.2938
-6.1943 -8.0768 6.9605
-7.7045 -4.1761 2.4668
-7.0559 -4.2410 7.1335
-9.6108 -7.6156 5.0629
```

# 12
# DySc2Sb

An optimized crystal structure of DySc2Sb (PBE, Alexandria).

## Properties
- raw formation energy (eV per atom) = -0.46
- energy above the lowest structure with this stoichiometry (eV/atom) = 0.099

```
DySc2Sb
1.0
-1.9486 -2.2073 -3.4303
2.0025 -3.9209 1.3855
-3.6517 -0.9224 2.6678
Sc Sb Dy
2 1 1
Cartesian
-1.8259 -0.4612 1.3339
1.0013 -1.9605 0.6927
-1.7989 -3.5253 0.3115
-0.9743 -1.1037 -1.7152
```

# 13
# Dy3Sc2Sb3

An optimized crystal structure of Dy3Sc2Sb3 (PBE, Alexandria).

## Properties
- raw formation energy (eV per atom) = -0.92

```
Dy3Sc2Sb3
1.0
-3.6776 1.6309 4.5955
5.8677 -3.0645 5.7833
0.4005 8.3715 -2.6506
Dy Sc Sb
6 4 6
Cartesian
-1.3147 0.4693 4.8694
1.9679 5.2246 5.8087
-2.6597 3.2827 2.7945
3.5048 -1.9029 5.5094
0.6226 1.7133 1.9196
-0.6175 6.7198 -0.8496
2.2229 4.5595 0.1607
2.2065 1.5629 5.2698
4.0453 0.7475 2.9720
0.3841 5.3750 2.4585
0.7916 -0.6308 6.9453
-0.2821 3.3196 4.6841
-2.5159 6.2877 1.8431
1.3985 -0.8029 3.4335
2.8726 3.6183 3.0441
-0.7612 3.7147 0.1018
```

# 14
# Dy4ScSb2

An optimized crystal structure of Dy4ScSb2 (PBE, Alexandria).

## Properties
- raw formation energy (eV per atom) = -0.45

```
Dy4ScSb2
1.0
-3.9882 -1.9837 -2.9461
-2.2268 -4.6712 1.3194
-7.8172 1.9288 4.4434
Dy Sc Sb
4 1 2
Cartesian
-10.9045 -3.2700 2.4426
-8.4675 -5.0290 0.3280
-3.1277 -1.4561 0.3741
-5.5647 0.3029 2.4888
-7.0161 -2.3631 1.4084
-5.1151 -3.7352 -0.2412
-8.9171 -0.9909 3.0580
```

# 15
# Dy3ScSb4

An optimized crystal structure of Dy3ScSb4 (PBE, Alexandria).

## Properties
- raw formation energy (eV per atom) = -1.07

```
Dy3ScSb4
1.0
-0.0826 -2.5811 3.4839
2.3097 -5.7638 -4.2153
5.9604 3.5958 2.8053
Dy Sc Sb
3 1 4
Cartesian
2.9802 1.7979 1.4026
4.0937 -2.3746 1.0369
1.1549 -2.8819 -2.1077
-0.0413 -1.2905 1.7420
1.9876 -0.5211 -0.3389
3.1633 -4.7601 -0.7524
6.2825 -1.6470 -1.0712
5.0242 0.0109 2.8263
```

# 16
# DyScSb

An optimized crystal structure of DyScSb (PBE, Alexandria).

## Properties
- raw formation energy (eV per atom) = -0.60

```
DyScSb
1.0
-3.6197 0.8685 -0.9987
-1.1677 -3.4645 1.2197
1.5575 3.2422 4.6112
Sc Sb Dy
1 1 1
Cartesian
-2.6183 -0.7760 1.3783
-0.4535 1.0543 2.5604
-3.1373 0.4309 4.3093
```

# 17
# DySc2Sb

An optimized crystal structure of DySc2Sb (PBE, Alexandria).

## Properties
- raw formation energy (eV per atom) = -0.56
- energy above the lowest structure with this stoichiometry (eV/atom) = 0.000

```
DySc2Sb
1.0
6.0650 1.1871 0.0000
-2.0181 3.4841 0.0000
0.0000 0.0000 8.8490
Dy Sc Sb
2 4 2
Cartesian
0.4885 3.7732 6.6368
3.5584 0.8980 2.2123
0.6477 1.5381 4.0103
3.3992 3.1331 4.8387
0.6477 1.5381 0.4142
3.3992 3.1331 8.4348
-1.3951 2.6814 2.2123
5.4421 1.9898 6.6368
```

# 18
# DyScSb

An optimized crystal structure of DyScSb (PBE, Alexandria).

## Properties
- raw formation energy (eV per atom) = -0.47

```
DyScSb
1.0
-1.5460 -3.0038 1.9370
-2.4059 -1.3468 -4.0087
4.4610 -1.7412 0.8602
Sc Sb Dy
1 1 1
Cartesian
-0.1760 -0.3420 0.2206
1.7871 -2.3576 -0.2805
-1.1020 -3.3922 -1.1516
```

# 19
# DySc3Sb4

An optimized crystal structure of DySc3Sb4 (PBE, Alexandria).

## Properties
- raw formation energy (eV per atom) = -0.98
- energy above the lowest structure with this stoichiometry (eV/atom) = 0.000

```
DySc3Sb4
1.0
4.2228 -0.0529 0.0713
0.0529 7.0196 2.0506
-0.1186 0.4085 7.3007
Sc Sb Dy
3 4 1
Cartesian
2.0519 0.1787 3.6860
4.1038 0.3564 7.3722
4.1899 3.6618 4.7470
4.1751 5.5863 7.0314
2.1216 5.3788 3.4464
4.2044 1.7378 2.4625
2.0351 1.9978 5.9764
2.0191 3.8927 8.3616
```

# 20
# DyScSb2

An optimized crystal structure of DyScSb2 (PBE, Alexandria).

## Properties
- raw formation energy (eV per atom) = -1.02
- energy above the lowest structure with this stoichiometry (eV/atom) = 0.005

```
DyScSb2
1.0
-1.0581 3.8509 -1.5180
-3.6797 -2.6119 -4.0610
-6.4550 0.4243 5.5760
Dy Sc Sb
2 2 4
Cartesian
-7.4742 -0.9356 2.8366
-1.3498 1.9794 -0.0501
-4.5597 2.1904 2.7228
-4.2643 -1.1466 0.0638
-5.5829 0.3670 4.8227
-2.4949 0.1640 2.1551
-6.3291 0.8798 0.6314
-3.2410 0.6768 -2.0362
```